Arrangement w

This record from the Open Quantum Materials Database describes FeNiAgB after structural relaxation. The functional is GGA-PBE.

Cell: 5.7186 5.7186 5.7186 Å, 90.00 90.00 90.00°
With the nearest neighbours (Å) after each atom.
Space group F-43m (No. 216)
Unique sites:
Fe (0.0000, 0.0000, 0.0000) (multiplicity 4)  4 B 2.48, 4 Ag 2.48
Ni (0.0000, 0.0000, 0.5000) (multiplicity 4)  4 B 2.48, 4 Ag 2.48
Ag (0.2500, 0.2500, 0.2500) (multiplicity 4)  4 Fe 2.48, 4 Ni 2.48
B (0.2500, 0.2500, 0.7500) (multiplicity 4)  4 Fe 2.48, 4 Ni 2.48

Values from the calculation:
- Volume: 187.0 Å³ per cell
- Crystal system: cubic

***

Arrangement x

This record from the Open Quantum Materials Database describes FeNiAgB after structural relaxation. The functional is GGA-PBE.

Cell: 5.6971 5.6971 5.6971 Å, 90.00 90.00 90.00°
With the nearest neighbours (Å) after each atom.
Space group F-43m (No. 216)
Unique sites:
Fe (0.0000, 0.0000, 0.0000) (multiplicity 4)  4 B 2.47, 4 Ni 2.47
Ni (0.2500, 0.2500, 0.2500) (multiplicity 4)  4 Fe 2.47, 4 Ag 2.47
Ag (0.0000, 0.0000, 0.5000) (multiplicity 4)  4 Ni 2.47, 4 B 2.47
B (0.2500, 0.2500, 0.7500) (multiplicity 4)  4 Fe 2.47, 4 Ag 2.47

Values from the calculation:
- Volume: 184.9 Å³ per cell
- Crystal system: cubic

***

Each structure's energy above the most stable one, in meV per atom: arrangement w 62; arrangement x 0.

***

Arrangement w

This record from the Open Quantum Materials Database describes YFeAgB after structural relaxation. The functional is GGA-PBE.

Cell: 6.3949 6.3949 6.3949 Å, 90.00 90.00 90.00°
With the nearest neighbours (Å) after each atom.
Space group F-43m (No. 216)
Unique sites:
Y (0.0000, 0.0000, 0.0000) (multiplicity 4)  4 B 2.77, 4 Ag 2.77
Fe (0.0000, 0.0000, 0.5000) (multiplicity 4)  4 B 2.77, 4 Ag 2.77
Ag (0.2500, 0.2500, 0.7500) (multiplicity 4)  4 Fe 2.77, 4 Y 2.77
B (0.2500, 0.2500, 0.2500) (multiplicity 4)  4 Fe 2.77, 4 Y 2.77

Values from the calculation:
- Volume: 261.5 Å³ per cell
- Crystal system: cubic

***

Arrangement x

This record from the Open Quantum Materials Database describes YFeAgB after structural relaxation. The functional is GGA-PBE.

Cell: 6.3435 6.3435 6.3435 Å, 90.00 90.00 90.00°
With the nearest neighbours (Å) after each atom.
Space group F-43m (No. 216)
Unique sites:
Y (0.0000, 0.0000, 0.0000) (multiplicity 4)  4 Fe 2.75, 4 Ag 2.75
Fe (0.2500, 0.2500, 0.7500) (multiplicity 4)  4 B 2.75, 4 Y 2.75
Ag (0.2500, 0.2500, 0.2500) (multiplicity 4)  4 B 2.75, 4 Y 2.75
B (0.0000, 0.0000, 0.5000) (multiplicity 4)  4 Ag 2.75, 4 Fe 2.75

Values from the calculation:
- Volume: 255.3 Å³ per cell
- Crystal system: cubic

***

Each structure's energy above the most stable one, in meV per atom: arrangement w 0; arrangement x 270.

***

Arrangement w

This record from the Open Quantum Materials Database describes GaAgB4 after structural relaxation. The functional is GGA-PBE.

Cell: 3.0678 3.0678 7.2886 Å, 90.00 90.00 120.00°
With the nearest neighbours (Å) after each atom.
Space group P6/mmm (No. 191)
Unique sites:
Ga (0.0000, 0.0000, 0.0000) (multiplicity 1)  12 B 2.42
Ag (0.0000, 0.0000, 0.5000) (multiplicity 1)  12 B 2.67
B (0.3333, 0.6667, 0.2264) (multiplicity 4)  3 B 1.77

Values from the calculation:
- Volume: 59.4 Å³ per cell
- Crystal system: hexagonal

***

Arrangement x

This record from the Open Quantum Materials Database describes GaAgB4 after structural relaxation. The functional is GGA-PBE.

Cell: 3.0823 5.3573 7.3295 Å, 90.00 90.00 90.00°
With the nearest neighbours (Å) after each atom.
Space group Immm (No. 71)
Unique sites:
Ga (0.0000, 0.0000, 0.0000) (multiplicity 2)  12 B 2.54-2.57
Ag (0.0000, 0.0000, 0.5000) (multiplicity 2)  12 B 2.53-2.58
B (0.0000, 0.3315, 0.2539) (multiplicity 8)  3 B 1.77-1.81

Values from the calculation:
- Volume: 121.0 Å³ per cell
- Crystal system: orthorhombic

***

Each structure's energy above the most stable one, in meV per atom: arrangement w 0; arrangement x 68.

***

Arrangement w

This record from the Open Quantum Materials Database describes GdAgB4 after structural relaxation. The functional is GGA-PBE.

Cell: 3.2332 3.2332 7.3593 Å, 90.00 90.00 120.00°
With the nearest neighbours (Å) after each atom.
Space group P6/mmm (No. 191)
Unique sites:
Gd (0.0000, 0.0000, 0.0000) (multiplicity 1)  12 B 2.66
Ag (0.0000, 0.0000, 0.5000) (multiplicity 1)  12 B 2.59
B (0.3333, 0.6667, 0.2570) (multiplicity 4)  3 B 1.87

Values from the calculation:
- Volume: 66.6 Å³ per cell
- Crystal system: hexagonal

***

Arrangement x

This record from the Open Quantum Materials Database describes GdAgB4 after structural relaxation. The functional is GGA-PBE.

Cell: 3.1592 5.4326 8.0417 Å, 90.00 90.00 90.00°
With the nearest neighbours (Å) after each atom.
Space group Immm (No. 71)
Unique sites:
Gd (0.0000, 0.0000, 0.0000) (multiplicity 2)  12 B 2.68-2.71
Ag (0.0000, 0.0000, 0.5000) (multiplicity 2)  12 B 2.60-2.79
B (0.0000, 0.3199, 0.2594) (multiplicity 8)  3 B 1.76-1.96

Values from the calculation:
- Volume: 138.0 Å³ per cell
- Crystal system: orthorhombic

***

Each structure's energy above the most stable one, in meV per atom: arrangement w 75; arrangement x 0.

***

Arrangement w

This record from the Open Quantum Materials Database describes AgGeB4 after structural relaxation. The functional is GGA-PBE.

Cell: 3.0593 5.3666 7.6584 Å, 90.00 90.00 90.00°
With the nearest neighbours (Å) after each atom.
Space group Immm (No. 71)
Unique sites:
Ag (0.0000, 0.0000, 0.0000) (multiplicity 2)  12 B 2.61-2.62
Ge (0.0000, 0.0000, 0.5000) (multiplicity 2)  12 B 2.59-2.65
B (0.0000, 0.3356, 0.2470) (multiplicity 8)  3 B 1.76-1.78

Values from the calculation:
- Volume: 125.7 Å³ per cell
- Crystal system: orthorhombic

***

Arrangement x

This record from the Open Quantum Materials Database describes AgGeB4 after structural relaxation. The functional is GGA-PBE.

Cell: 3.0616 3.0616 7.5638 Å, 90.00 90.00 120.00°
With the nearest neighbours (Å) after each atom.
Space group P6/mmm (No. 191)
Unique sites:
Ag (0.0000, 0.0000, 0.0000) (multiplicity 1)  12 B 2.67
Ge (0.0000, 0.0000, 0.5000) (multiplicity 1)  12 B 2.51
B (0.3333, 0.6667, 0.2648) (multiplicity 4)  3 B 1.77

Values from the calculation:
- Volume: 61.4 Å³ per cell
- Crystal system: hexagonal

***

Each structure's energy above the most stable one, in meV per atom: arrangement w 27; arrangement x 0.

***

Arrangement w

This record from the Open Quantum Materials Database describes HfAgB after structural relaxation. The functional is GGA-PBE.

Cell: 6.0317 6.0317 6.0317 Å, 90.00 90.00 90.00°
With the nearest neighbours (Å) after each atom.
Space group F-43m (No. 216)
Unique sites:
Hf (0.0000, 0.0000, 0.0000) (multiplicity 4)  4 B 2.61, 4 Ag 2.61
Ag (0.2500, 0.2500, 0.7500) (multiplicity 4)  4 Hf 2.61
B (0.2500, 0.2500, 0.2500) (multiplicity 4)  4 Hf 2.61

Values from the calculation:
- Volume: 219.4 Å³ per cell
- Crystal system: cubic

***

Arrangement x

This record from the Open Quantum Materials Database describes HfAgB after structural relaxation. The functional is GGA-PBE.

Cell: 5.8897 5.8897 5.8897 Å, 90.00 90.00 90.00°
With the nearest neighbours (Å) after each atom.
Space group F-43m (No. 216)
Unique sites:
Hf (0.0000, 0.0000, 0.0000) (multiplicity 4)  4 Ag 2.55
Ag (0.2500, 0.2500, 0.7500) (multiplicity 4)  4 Hf 2.55, 4 B 2.55
B (0.0000, 0.0000, 0.5000) (multiplicity 4)  4 Ag 2.55

Values from the calculation:
- Volume: 204.3 Å³ per cell
- Crystal system: cubic

***

Each structure's energy above the most stable one, in meV per atom: arrangement w 195; arrangement x 0.